Record 1
# LiZr2Sc (PBE, optimized geometry)
data_LiZr2Sc
_cell_length_a 3.1545
_cell_length_b 3.1545
_cell_length_c 8.6903
_cell_angle_alpha 90.00
_cell_angle_beta 90.00
_cell_angle_gamma 90.00
_symmetry_space_group_name_H-M 'P 4/m m m'
_symmetry_Int_Tables_number 123
_symmetry_space_group_name_Hall '-P 4 2'
loop_
_atom_site_label
_atom_site_type_symbol
_atom_site_fract_x
_atom_site_fract_y
_atom_site_fract_z
Li1 Li 0.0000 0.0000 0.0000
Zr1 Zr 0.5000 0.5000 0.2416
Sc1 Sc 0.0000 0.0000 0.5000
# density = 4.5 g/cm³
# density of states at the Fermi level = 5.20 states/eV/f.u.
# raw total energy = -6.19 eV/atom
# M_tot = 0.000 μB per formula unit
# energy relative to the elements = 0.1489 eV per atom

Record 2
# MgFe2Mo (PBE, optimized geometry)
data_MgFe2Mo
_cell_length_a 2.7972
_cell_length_b 2.7972
_cell_length_c 25.8728
_cell_angle_alpha 90.00
_cell_angle_beta 90.00
_cell_angle_gamma 120.00
_symmetry_space_group_name_H-M 'R -3 m'
_symmetry_Int_Tables_number 166
_symmetry_space_group_name_Hall '-R 3 2"'
loop_
_atom_site_label
_atom_site_type_symbol
_atom_site_fract_x
_atom_site_fract_y
_atom_site_fract_z
Mg1 Mg 0.0000 0.0000 0.0000
Fe1 Fe 0.0000 0.0000 0.2454
Mo1 Mo 0.0000 0.0000 0.5000
# density = 6.6 g/cm³
# density of states at the Fermi level = 4.97 states/eV/f.u.
# raw total energy = -6.98 eV/atom
# M_tot = 3.979 μB per formula unit
# energy relative to the elements = 0.3571 eV per atom